The following is a DFT calculation (PBE-GGA) of a relaxed structure of Ti8Rh2N3.

Unit cell a=6.641 b=6.641 c=5.588 alpha=106.74 beta=106.74 gamma=53.94
Sites, in units of the cell vectors:
Ti1 0.099 0.099 0.396
Ti2 0.136 0.661 0.107
Ti3 0.339 0.864 0.893
Ti4 0.382 0.382 0.502
Ti5 0.618 0.618 0.498
Ti6 0.661 0.136 0.107
Ti7 0.864 0.339 0.893
Ti8 0.901 0.901 0.604
Rh1 0.269 0.269 0.801
Rh2 0.731 0.731 0.199
N1 0.000 0.000 0.000
N2 0.245 0.755 0.500
N3 0.755 0.245 0.500

Output
The value obtained for the total magnetic moment is 0.000 μB/atom. As for the calculated total energy: -8.7673 eV/atom. Its density of states at the Fermi level is 0.97 states/eV/atom.

***

The following is a DFT calculation (PBE-GGA) of a relaxed structure of TiRhN.

Unit cell a=8.940 b=8.940 c=8.940 alpha=161.36 beta=161.36 gamma=26.48
Sites, in units of the cell vectors:
Ti1 0.181 0.181 0.000
Ti2 0.819 0.819 0.000
Rh1 0.430 0.430 0.000
Rh2 0.570 0.570 0.000
N1 0.305 0.305 0.000
N2 0.695 0.695 0.000

Output
The value obtained for the total magnetic moment is 0.000 μB/atom. As for the calculated total energy: -8.7750 eV/atom. Its density of states at the Fermi level is 0.67 states/eV/atom.

***

The following is a DFT calculation (PBE-GGA) of a relaxed structure of TiV2RhN.

Unit cell a=3.901 b=3.901 c=4.144 alpha=90.00 beta=90.00 gamma=90.00
Sites, in units of the cell vectors:
Ti1 0.000 0.000 0.000
V1 0.000 0.500 0.500
V2 0.500 0.000 0.500
Rh1 0.500 0.500 0.000
N1 0.000 0.000 0.500

Output
The value obtained for the total magnetic moment is 0.000 μB/atom. As for the calculated total energy: -9.1428 eV/atom. Its density of states at the Fermi level is 1.18 states/eV/atom.

***

The following is a DFT calculation (PBE-GGA) of a relaxed structure of TiRh2WN.

Unit cell a=4.655 b=4.655 c=4.934 alpha=90.00 beta=90.00 gamma=90.00
Sites, in units of the cell vectors:
Ti1 0.000 0.000 0.000
Rh1 0.000 0.500 0.500
Rh2 0.500 0.000 0.500
W1 0.000 0.000 0.500
N1 0.500 0.500 0.000

Output
The value obtained for the total magnetic moment is 0.280 μB/atom. As for the calculated total energy: -6.6530 eV/atom. Its density of states at the Fermi level is 1.46 states/eV/atom.

***

The following is a DFT calculation (PBE-GGA) of a relaxed structure of YTi2RhN.

Unit cell a=4.078 b=4.078 c=4.845 alpha=90.00 beta=90.00 gamma=90.00
Sites, in units of the cell vectors:
Y1 0.000 0.000 0.000
Ti1 0.000 0.500 0.500
Ti2 0.500 0.000 0.500
Rh1 0.500 0.500 0.000
N1 0.000 0.000 0.500

Output
The value obtained for the total magnetic moment is 0.244 μB/atom. As for the calculated total energy: -8.4604 eV/atom. Its density of states at the Fermi level is 1.22 states/eV/atom.

***

The following is a DFT calculation (PBE-GGA) of a relaxed structure of Zr2TiRhN.

Unit cell a=4.508 b=4.508 c=3.988 alpha=90.00 beta=90.00 gamma=90.00
Sites, in units of the cell vectors:
Zr1 0.000 0.500 0.000
Zr2 0.500 0.000 0.000
Ti1 0.000 0.000 0.500
Rh1 0.500 0.500 0.500
N1 0.000 0.000 0.000

Output
The value obtained for the total magnetic moment is 0.136 μB/atom. As for the calculated total energy: -9.0880 eV/atom. Its density of states at the Fermi level is 1.16 states/eV/atom.

***

The following is a DFT calculation (PBE-GGA) of a relaxed structure of TlRhN.

Unit cell a=3.231 b=4.376 c=8.379 alpha=86.66 beta=79.01 gamma=90.00
Sites, in units of the cell vectors:
Tl1 0.000 0.000 0.000
Tl2 0.331 0.464 0.332
Rh1 0.139 0.597 0.722
Rh2 0.695 0.115 0.607
N1 0.231 0.904 0.536
N2 0.599 0.368 0.803

Output
The value obtained for the total magnetic moment is 0.000 μB/atom. As for the calculated total energy: -5.6456 eV/atom. Its density of states at the Fermi level is 0.53 states/eV/atom.

***

The following is a DFT calculation (PBE-GGA) of a relaxed structure of TlRhN2.

Unit cell a=5.701 b=5.701 c=5.701 alpha=117.97 beta=117.97 gamma=93.55
Sites, in units of the cell vectors:
Tl1 0.000 0.000 0.000
Tl2 0.750 0.250 0.500
Rh1 0.250 0.750 0.500
Rh2 0.500 0.500 0.000
N1 0.247 0.625 0.122
N2 0.375 0.497 0.622
N3 0.503 0.125 0.878
N4 0.875 0.753 0.378

Output
The value obtained for the total magnetic moment is 0.000 μB/atom. As for the calculated total energy: -5.8283 eV/atom. Its density of states at the Fermi level is 0.61 states/eV/atom.

***

The following is a DFT calculation (PBE-GGA) of a relaxed structure of TlRhN.

Unit cell a=7.700 b=7.700 c=5.358 alpha=108.37 beta=108.37 gamma=24.11
Sites, in units of the cell vectors:
Tl1 0.000 0.000 0.000
Tl2 0.588 0.588 0.577
Rh1 0.264 0.264 0.896
Rh2 0.763 0.763 0.424
N1 0.291 0.291 0.271
N2 0.822 0.822 0.805

Output
The value obtained for the total magnetic moment is 0.000 μB/atom. As for the calculated total energy: -5.6257 eV/atom. Its density of states at the Fermi level is 0.51 states/eV/atom.

***

The following is a DFT calculation (PBE-GGA) of a relaxed structure of TlRhN.

Unit cell a=3.280 b=8.045 c=4.497 alpha=90.00 beta=90.00 gamma=90.00
Sites, in units of the cell vectors:
Tl1 0.000 0.163 0.000
Tl2 0.500 0.837 0.500
Rh1 0.000 0.569 0.828
Rh2 0.500 0.431 0.328
N1 0.000 0.380 0.545
N2 0.500 0.620 0.045

Output
The value obtained for the total magnetic moment is 0.000 μB/atom. As for the calculated total energy: -5.6637 eV/atom. Its density of states at the Fermi level is 0.43 states/eV/atom.

***

The following is a DFT calculation (PBE-GGA) of a relaxed structure of TlRhN.

Unit cell a=3.208 b=5.435 c=6.771 alpha=88.80 beta=89.03 gamma=90.00
Sites, in units of the cell vectors:
Tl1 0.000 0.000 0.000
Tl2 0.496 0.493 0.160
Rh1 0.011 0.332 0.630
Rh2 0.512 0.855 0.628
N1 0.016 0.008 0.520
N2 0.514 0.513 0.555

Output
The value obtained for the total magnetic moment is 0.000 μB/atom. As for the calculated total energy: -5.6160 eV/atom. Its density of states at the Fermi level is 0.43 states/eV/atom.

***

The following is a DFT calculation (PBE-GGA) of a relaxed structure of Tl3RhN.

Unit cell a=4.793 b=4.793 c=4.793 alpha=90.00 beta=90.00 gamma=90.00
Sites, in units of the cell vectors:
Tl1 0.000 0.000 0.500
Tl2 0.000 0.500 0.000
Tl3 0.500 0.000 0.000
Rh1 0.500 0.500 0.500
N1 0.000 0.000 0.000

Output
The value obtained for the total magnetic moment is 0.000 μB/atom. As for the calculated total energy: -3.5598 eV/atom. Its density of states at the Fermi level is 0.97 states/eV/atom.

***

The following is a DFT calculation (PBE-GGA) of a relaxed structure of TlRhN2.

Unit cell a=4.099 b=4.099 c=4.099 alpha=60.00 beta=60.00 gamma=60.00
Sites, in units of the cell vectors:
Tl1 0.000 0.000 0.000
Rh1 0.500 0.500 0.500
N1 0.250 0.250 0.250
N2 0.750 0.750 0.750

Output
The value obtained for the total magnetic moment is 0.000 μB/atom. As for the calculated total energy: -5.0461 eV/atom. Its density of states at the Fermi level is 0.11 states/eV/atom.

***

The following is a DFT calculation (PBE-GGA) of a relaxed structure of Tl3RhN.

Unit cell a=5.280 b=5.280 c=5.280 alpha=90.00 beta=90.00 gamma=90.00
Sites, in units of the cell vectors:
Tl1 0.000 0.000 0.500
Tl2 0.000 0.500 0.000
Tl3 0.500 0.000 0.000
Rh1 0.000 0.000 0.000
N1 0.500 0.500 0.500

Output
The value obtained for the total magnetic moment is 0.456 μB/atom. As for the calculated total energy: -3.6547 eV/atom. Its density of states at the Fermi level is 0.70 states/eV/atom.

***

The following is a DFT calculation (PBE-GGA) of a relaxed structure of TlRhN2.

Unit cell a=6.648 b=6.648 c=6.648 alpha=29.88 beta=29.88 gamma=29.88
Sites, in units of the cell vectors:
Tl1 0.000 0.000 0.000
Rh1 0.500 0.500 0.500
N1 0.404 0.404 0.404
N2 0.596 0.596 0.596

Output
The value obtained for the total magnetic moment is 0.000 μB/atom. As for the calculated total energy: -5.4016 eV/atom. Its density of states at the Fermi level is 0.33 states/eV/atom.

***

The following is a DFT calculation (PBE-GGA) of a relaxed structure of TlRhN3.

Unit cell a=4.165 b=4.165 c=4.165 alpha=90.00 beta=90.00 gamma=90.00
Sites, in units of the cell vectors:
Tl1 0.000 0.000 0.000
Rh1 0.500 0.500 0.500
N1 0.000 0.000 0.500
N2 0.000 0.500 0.000
N3 0.500 0.000 0.000

Output
The value obtained for the total magnetic moment is 0.000 μB/atom. As for the calculated total energy: -4.0047 eV/atom. Its density of states at the Fermi level is 0.93 states/eV/atom.

***

The following is a DFT calculation (PBE-GGA) of a relaxed structure of TlRh3N.

Unit cell a=5.083 b=5.083 c=5.083 alpha=90.00 beta=90.00 gamma=90.00
Sites, in units of the cell vectors:
Tl1 0.000 0.000 0.000
Rh1 0.000 0.000 0.500
Rh2 0.000 0.500 0.000
Rh3 0.500 0.000 0.000
N1 0.500 0.500 0.500

Output
The value obtained for the total magnetic moment is 1.017 μB/atom. As for the calculated total energy: -3.8468 eV/atom. Its density of states at the Fermi level is 3.19 states/eV/atom.

***

The following is a DFT calculation (PBE-GGA) of a relaxed structure of TlRhN.

Unit cell a=3.917 b=3.917 c=8.036 alpha=98.75 beta=98.75 gamma=89.79
Sites, in units of the cell vectors:
Tl1 0.087 0.087 0.330
Tl2 0.913 0.913 0.670
Rh1 0.429 0.429 0.678
Rh2 0.571 0.571 0.322
N1 0.480 0.480 0.927
N2 0.520 0.520 0.073

Output
The value obtained for the total magnetic moment is 0.000 μB/atom. As for the calculated total energy: -5.8190 eV/atom. Its density of states at the Fermi level is 0.54 states/eV/atom.

***

The following is a DFT calculation (PBE-GGA) of a relaxed structure of TlRhN2.

Unit cell a=6.742 b=6.742 c=6.742 alpha=27.34 beta=27.34 gamma=27.34
Sites, in units of the cell vectors:
Tl1 0.000 0.000 0.000
Rh1 0.500 0.500 0.500
N1 0.117 0.117 0.117
N2 0.883 0.883 0.883

Output
The value obtained for the total magnetic moment is 0.000 μB/atom. As for the calculated total energy: -5.7798 eV/atom. Its density of states at the Fermi level is 0.89 states/eV/atom.

***

The following is a DFT calculation (PBE-GGA) of a relaxed structure of TlRhN.

Unit cell a=5.434 b=5.434 c=7.074 alpha=103.26 beta=103.26 gamma=39.07
Sites, in units of the cell vectors:
Tl1 0.000 0.000 0.000
Tl2 0.227 0.227 0.695
Rh1 0.573 0.573 0.401
Rh2 0.838 0.838 0.363
N1 0.397 0.397 0.441
N2 0.666 0.666 0.201

Output
The value obtained for the total magnetic moment is 0.000 μB/atom. As for the calculated total energy: -5.6067 eV/atom. Its density of states at the Fermi level is 0.32 states/eV/atom.